1.
Density functional theory data (PBE) for crystalline ZrRe3C at its relaxed geometry.

Summary:
Space-group type = Pm-3m (221)
Energy above the lowest structure with this stoichiometry = 4001.2 meV per atom
Total magnetization = 0.44 μB/atom
Calculated formation energy = 4006 meV/atom

a b c (Å): 4.801 4.801 4.801
angles (deg): 90.00 90.00 90.00
Each line ends with the local moment (μB).
Fractional coordinates of all 5 atoms:
Re 0.500 0.000 0.000  0.95
Re 0.000 0.500 0.000  0.79
Re 0.000 0.000 0.500  0.74
C 0.500 0.500 0.500  -0.27
Zr 0.000 0.000 0.000  -0.08

---

2.
Density functional theory data (PBE) for crystalline Hf2TlPb at its relaxed geometry.

Summary:
Space-group type = R-3m (166)
Energy above the lowest structure with this stoichiometry = 204.8 meV per atom
Total magnetization = 0.00 μB/atom
Calculated formation energy = 319 meV/atom

a b c (Å): 3.991 3.991 7.694
angles (deg): 74.97 74.97 60.00
Fractional coordinates of all 4 atoms:
Tl 0.000 0.000 0.000
Pb 0.500 0.500 0.500
Hf 0.751 0.751 0.748
Hf 0.249 0.249 0.252

---

3.
Density functional theory data (PBE) for crystalline TaFe2Se at its relaxed geometry.

Summary:
Space-group type = Cm (8)
Total magnetization = 1.04 μB/atom
Formation energy without anion corrections = 12.6 kJ per mole of atoms

a b c (Å): 4.791 4.791 4.443
angles (deg): 69.78 69.78 38.33
Each line ends with the local moment (μB).
Fractional coordinates of all 4 atoms:
Fe 0.758 0.758 0.805  2.04
Fe 0.026 0.026 0.948  2.37
Ta 0.232 0.232 0.304  -0.24
Se 0.484 0.484 0.443  0.04

---

4.
Density functional theory data (PBE) for crystalline TaGa2Ni7Pt2 at its relaxed geometry.

Summary:
Space-group type = Cmmm (65)
Total magnetization = 0.00 μB/atom
Calculated formation energy = -278 meV/atom

a b c (Å): 3.658 3.658 12.909
angles (deg): 73.40 73.40 89.64
Fractional coordinates of all 12 atoms:
Ga 0.316 0.316 0.684
Ga 0.684 0.684 0.316
Pt 0.183 0.183 0.316
Pt 0.817 0.817 0.684
Ni 0.848 0.348 0.152
Ni 0.152 0.652 0.848
Ni 0.652 0.152 0.848
Ni 0.348 0.848 0.152
Ni 0.500 0.500 0.000
Ni 0.260 0.260 0.500
Ni 0.740 0.740 0.500
Ta 0.000 0.000 0.000

---

5.
Density functional theory data (PBE) for crystalline FeSb2PbI at its relaxed geometry.

Summary:
Space-group type = P4/mmm (123)
Energy above the lowest structure with this stoichiometry = 0.0 meV per atom
Total magnetization = 0.46 μB/atom
Formation energy without anion corrections = 32.2 kJ per mole of atoms

a b c (Å): 4.954 4.954 6.008
angles (deg): 90.00 90.00 90.00
Each line ends with the local moment (μB).
Fractional coordinates of all 5 atoms:
Fe 0.000 0.000 0.000  2.09
Sb 0.000 0.500 0.000  -0.02
Sb 0.500 0.000 0.000  -0.02
I 0.000 0.000 0.500  0.02
Pb 0.500 0.500 0.500  0.05

---

6.
Density functional theory data (PBE) for crystalline Zr4CrRe at its relaxed geometry.

Summary:
Space-group type = F-43m (216)
Total magnetization = 0.45 μB/atom
Calculated formation energy = 773 meV/atom

a b c (Å): 5.591 5.591 5.591
angles (deg): 60.00 60.00 60.00
Each line ends with the local moment (μB).
Fractional coordinates of all 6 atoms:
Zr 0.374 0.374 0.374  -0.11
Zr 0.878 0.374 0.374  -0.11
Zr 0.374 0.374 0.878  -0.11
Zr 0.374 0.878 0.374  -0.11
Re 0.000 0.000 0.000  -0.54
Cr 0.750 0.750 0.750  3.41

---

7.
Density functional theory data (PBE) for crystalline CdSi2W at its relaxed geometry.

Summary:
Space-group type = P4mm (99)
Total magnetization = 0.00 μB/atom
Formation energy without anion corrections = 51.0 kJ per mole of atoms

a b c (Å): 2.810 2.810 8.343
angles (deg): 90.00 90.00 90.00
Fractional coordinates of all 4 atoms:
Si 0.500 0.500 0.253
Si 0.000 0.000 0.031
W 0.000 0.000 0.469
Cd 0.500 0.500 0.747

---

8.
Density functional theory data (PBE) for crystalline KBaSb2Te at its relaxed geometry.

Summary:
Space-group type = P4/mmm (123)
Energy above the lowest structure with this stoichiometry = 0.0 meV per atom
Total magnetization = 0.17 μB/atom
Formation energy without anion corrections = 12.2 kJ per mole of atoms

a b c (Å): 6.414 6.414 6.520
angles (deg): 90.00 90.00 90.00
Each line ends with the local moment (μB).
Fractional coordinates of all 5 atoms:
Sb 0.000 0.500 0.000  0.13
Sb 0.500 0.000 0.000  0.13
Ba 0.000 0.000 0.000  0.00
Te 0.000 0.000 0.500  0.08
K 0.500 0.500 0.500  0.00

---

9.
Density functional theory data (PBE) for crystalline MgIn2 at its relaxed geometry.

Summary:
Space-group type = I4/mcm (140)
Total magnetization = 0.00 μB/atom
Calculated formation energy = 0 meV/atom

a b c (Å): 5.861 5.861 5.861
angles (deg): 106.35 106.35 115.90
Fractional coordinates of all 6 atoms:
Mg 0.250 0.250 0.000
Mg 0.750 0.750 0.000
In 0.657 0.157 0.815
In 0.157 0.343 0.500
In 0.343 0.843 0.185
In 0.843 0.657 0.500

---

10.
Density functional theory data (PBE) for crystalline Ce3NpPa2N6 at its relaxed geometry.

Summary:
Space-group type = C2/m (12)
Total magnetization = 0.31 μB/atom
Formation energy without anion corrections = -145.6 kJ per mole of atoms

a b c (Å): 6.113 6.113 6.115
angles (deg): 99.59 99.59 120.01
Each line ends with the local moment (μB).
Fractional coordinates of all 12 atoms:
Pa 0.667 0.333 0.000  0.07
Pa 0.333 0.667 0.000  0.07
N 0.076 0.412 0.227  -0.03
N 0.924 0.588 0.773  -0.03
N 0.588 0.924 0.773  -0.03
N 0.740 0.740 0.227  -0.03
N 0.412 0.076 0.227  -0.03
N 0.260 0.260 0.773  -0.03
Np 0.000 0.000 0.000  3.07
Ce 0.166 0.834 0.500  0.13
Ce 0.500 0.500 0.500  0.15
Ce 0.834 0.166 0.500  0.13

---

11.
Density functional theory data (PBE) for crystalline Mn3CrS at its relaxed geometry.

Summary:
Space-group type = Pm-3m (221)
Energy above the lowest structure with this stoichiometry = 0.0 meV per atom
Total magnetization = 0.35 μB/atom
Formation energy without anion corrections = 63.7 kJ per mole of atoms

a b c (Å): 4.025 4.025 4.025
angles (deg): 90.00 90.00 90.00
Each line ends with the local moment (μB).
Fractional coordinates of all 5 atoms:
S 0.000 0.000 0.000  -0.01
Mn 0.500 0.000 0.000  0.41
Mn 0.000 0.500 0.000  0.54
Mn 0.000 0.000 0.500  0.80
Cr 0.500 0.500 0.500  0.01

---

12.
Density functional theory data (PBE) for crystalline Hf4CuAs at its relaxed geometry.

Summary:
Space-group type = I4_1md (109)
Total magnetization = 0.00 μB/atom
Calculated formation energy = 121 meV/atom

a b c (Å): 7.117 7.117 7.117
angles (deg): 106.09 106.09 116.47
Fractional coordinates of all 12 atoms:
Hf 0.760 0.460 0.700
Hf 0.702 0.489 0.213
Hf 0.810 0.010 0.800
Hf 0.239 0.526 0.287
Hf 0.760 0.060 0.300
Hf 0.276 0.489 0.787
Hf 0.239 0.952 0.713
Hf 0.210 0.010 0.200
As 0.492 0.992 0.500
As 0.742 0.742 0.000
Cu 0.259 0.259 0.000
Cu 0.009 0.509 0.500

---

13.
Density functional theory data (PBE) for crystalline Tl2FeTe2 at its relaxed geometry.

Summary:
Space-group type = P4/mbm (127)
Total magnetization = 0.41 μB/atom
Formation energy without anion corrections = 9.9 kJ per mole of atoms

a b c (Å): 6.614 6.614 6.343
angles (deg): 90.00 90.00 90.00
Each line ends with the local moment (μB).
Fractional coordinates of all 10 atoms:
Tl 0.313 0.187 0.500  -0.02
Tl 0.813 0.313 0.500  -0.02
Tl 0.187 0.687 0.500  -0.02
Tl 0.687 0.813 0.500  -0.02
Te 0.343 0.843 0.000  -0.01
Te 0.843 0.657 0.000  -0.01
Te 0.157 0.343 0.000  -0.01
Te 0.657 0.157 0.000  -0.01
Fe 0.500 0.500 0.000  2.09
Fe 0.000 0.000 0.000  2.19

---

14.
Density functional theory data (PBE) for crystalline Sm8Rh3I4Cl at its relaxed geometry.

Summary:
Space-group type = R-3m (166)
Total magnetization = 0.00 μB/atom
Formation energy without anion corrections = -92.4 kJ per mole of atoms

a b c (Å): 8.404 9.335 8.409
angles (deg): 116.78 119.98 90.00
Fractional coordinates of all 16 atoms:
Sm 0.758 0.312 0.516
Sm 0.758 0.312 0.054
Sm 0.296 0.312 0.054
Sm 0.728 0.683 0.456
Sm 0.242 0.688 0.946
Sm 0.272 0.317 0.544
Sm 0.242 0.688 0.484
Sm 0.704 0.688 0.946
I 0.500 0.000 0.000
I 0.000 0.000 0.500
I 0.500 0.000 0.500
I 0.000 0.000 0.000
Cl 0.000 0.500 0.000
Rh 0.000 0.500 0.500
Rh 0.500 0.500 0.500
Rh 0.500 0.500 0.000

---

15.
Density functional theory data (PBE) for crystalline Th2HgBi3 at its relaxed geometry.

Summary:
Space-group type = P-4m2 (115)
Total magnetization = 0.00 μB/atom
Calculated formation energy = -447 meV/atom

a b c (Å): 4.559 4.559 9.025
angles (deg): 90.00 90.00 90.00
Fractional coordinates of all 6 atoms:
Bi 0.000 0.000 0.000
Bi 0.500 0.000 0.348
Bi 0.000 0.500 0.652
Th 0.500 0.000 0.717
Th 0.000 0.500 0.283
Hg 0.500 0.500 0.000

---

16.
Density functional theory data (PBE) for crystalline Ca2TmThP4 at its relaxed geometry.

Summary:
Space-group type = P2/m (10)
Total magnetization = 0.00 μB/atom
Calculated formation energy = -1284 meV/atom

a b c (Å): 4.133 7.079 7.121
angles (deg): 109.58 90.00 90.00
Fractional coordinates of all 8 atoms:
P 0.000 0.740 0.235
P 0.500 0.252 0.239
P 0.500 0.748 0.761
P 0.000 0.260 0.765
Ca 0.000 0.500 0.500
Ca 0.500 0.000 0.500
Tm 0.500 0.500 0.000
Th 0.000 0.000 0.000

---

17.
Density functional theory data (PBE) for crystalline CoSbHIr2 at its relaxed geometry.

Summary:
Space-group type = P4/mmm (123)
Total magnetization = 0.15 μB/atom
E_tot = -0.4672 Ry/atom

a b c (Å): 3.992 3.890 3.992
angles (deg): 90.00 90.00 90.00
Each line ends with the local moment (μB).
Fractional coordinates of all 5 atoms:
Ir 0.000 0.000 0.500  0.10
Ir 0.500 0.000 0.000  0.06
H 0.000 0.000 0.000  0.00
Co 0.000 0.500 0.000  0.63
Sb 0.500 0.500 0.500  -0.02

---

18.
Density functional theory data (PBE) for crystalline Ir2W at its relaxed geometry.

Summary:
Space-group type = Cmcm (63)
Total magnetization = 0.00 μB/atom
Calculated formation energy = -95 meV/atom

a b c (Å): 7.390 7.390 4.467
angles (deg): 90.00 90.00 158.29
Fractional coordinates of all 6 atoms:
Ir 0.887 0.113 0.750
Ir 0.113 0.887 0.250
Ir 0.443 0.557 0.250
Ir 0.557 0.443 0.750
W 0.218 0.782 0.750
W 0.782 0.218 0.250

---

19.
Density functional theory data (PBE) for crystalline CaNi4SbAs2 at its relaxed geometry.

Summary:
Space-group type = P4/mmm (123)
Total magnetization = 0.00 μB/atom
Formation energy without anion corrections = -42.0 kJ per mole of atoms

a b c (Å): 4.130 4.130 7.802
angles (deg): 90.00 90.00 90.00
Fractional coordinates of all 8 atoms:
As 0.500 0.500 0.332
As 0.500 0.500 0.668
Ni 0.000 0.500 0.190
Ni 0.500 0.000 0.810
Ni 0.000 0.500 0.810
Ni 0.500 0.000 0.190
Sb 0.000 0.000 0.000
Ca 0.000 0.000 0.500

---

20.
Density functional theory data (PBE) for crystalline NdEr3N at its relaxed geometry.

Summary:
Space-group type = Pm-3m (221)
Total magnetization = 0.08 μB/atom
Formation energy without anion corrections = -48.8 kJ per mole of atoms

a b c (Å): 4.939 4.939 4.939
angles (deg): 90.00 90.00 90.00
Each line ends with the local moment (μB).
Fractional coordinates of all 5 atoms:
Nd 0.500 0.500 0.500  0.08
Er 0.500 0.000 0.000  0.06
Er 0.000 0.000 0.500  0.06
Er 0.000 0.500 0.000  0.06
N 0.000 0.000 0.000  0.01

---

21.
Density functional theory data (PBE) for crystalline Zr2PdAu2 at its relaxed geometry.

Summary:
Space-group type = P4/mbm (127)
Energy above the lowest structure with this stoichiometry = 0.0 meV per atom
Total magnetization = 0.00 μB/atom
Calculated formation energy = -469 meV/atom

a b c (Å): 7.435 7.435 3.600
angles (deg): 90.00 90.00 90.00
Fractional coordinates of all 10 atoms:
Zr 0.328 0.172 0.500
Zr 0.828 0.328 0.500
Zr 0.672 0.828 0.500
Zr 0.172 0.672 0.500
Au 0.632 0.132 0.000
Au 0.132 0.368 0.000
Au 0.368 0.868 0.000
Au 0.868 0.632 0.000
Pd 0.000 0.000 0.000
Pd 0.500 0.500 0.000

---

22.
Density functional theory data (PBE) for crystalline KSr2BeRu at its relaxed geometry.

Summary:
Space-group type = P4/mmm (123)
Total magnetization = 0.41 μB/atom
Calculated formation energy = 1207 meV/atom

a b c (Å): 5.829 5.637 5.829
angles (deg): 90.00 90.00 90.00
Each line ends with the local moment (μB).
Fractional coordinates of all 5 atoms:
Be 0.000 0.000 0.000  0.01
K 0.000 0.500 0.000  -0.01
Sr 0.500 0.000 0.000  -0.02
Sr 0.000 0.000 0.500  -0.02
Ru 0.500 0.500 0.500  2.08

---

23.
Density functional theory data (PBE) for crystalline HfCo2OsBr at its relaxed geometry.

Summary:
Space-group type = P4/mmm (123)
Total magnetization = 0.70 μB/atom
Formation energy without anion corrections = 175.0 kJ per mole of atoms

a b c (Å): 4.747 4.905 4.747
angles (deg): 90.00 90.00 90.00
Each line ends with the local moment (μB).
Fractional coordinates of all 5 atoms:
Hf 0.000 0.000 0.000  -0.31
Os 0.000 0.500 0.000  1.07
Co 0.500 0.000 0.000  1.23
Co 0.000 0.000 0.500  1.36
Br 0.500 0.500 0.500  0.10

---

24.
Density functional theory data (PBE) for crystalline Tb3InSe2 at its relaxed geometry.

Summary:
Space-group type = Immm (71)
Total magnetization = 0.00 μB/atom
Formation energy without anion corrections = -127.9 kJ per mole of atoms

a b c (Å): 4.048 5.971 7.452
angles (deg): 113.62 105.75 90.00
Fractional coordinates of all 6 atoms:
Se 0.165 0.665 0.329
Se 0.835 0.335 0.671
Tb 0.823 0.823 0.645
Tb 0.177 0.177 0.355
Tb 0.500 0.500 0.000
In 0.500 0.000 0.000

---

25.
Density functional theory data (PBE) for crystalline SbMoPd at its relaxed geometry.

Summary:
Space-group type = P-6m2 (187)
Total magnetization = 0.00 μB/atom
Formation energy without anion corrections = 18.3 kJ per mole of atoms

a b c (Å): 3.101 3.099 13.156
angles (deg): 90.00 90.00 120.03
Fractional coordinates of all 6 atoms:
Mo 0.444 0.888 0.500
Mo 0.445 0.890 0.000
Pd 0.778 0.555 0.656
Pd 0.778 0.555 0.344
Sb 0.111 0.222 0.836
Sb 0.111 0.222 0.164

---

no.,calculated density (Mg/m³),Fermi-level density of states (states/eV/cell)
1,9.9,6.44
2,12.6,1.12
3,10.5,3.96
4,11.8,5.23
5,7.1,4.90
6,8.1,9.44
7,8.9,2.59
8,3.4,6.40
9,5.5,3.04
10,10.7,17.42
11,6.3,9.38
12,10.3,13.89
13,8.6,7.04
14,7.0,7.05
15,11.4,3.43
16,5.1,7.34
17,15.2,2.21
18,20.9,5.67
19,6.8,5.83
20,9.1,7.12
21,11.4,9.54
22,2.8,10.38
23,8.5,7.95
24,7.9,1.12
25,9.8,4.38